(1)
## NbGa2Pt8 (PBE-GGA)

Data for a relaxed NbGa2Pt8 crystal.

Cell lengths 14.225, 4.041, 6.410 Å; angles 90.00, 110.27, 90.00 degrees
Space group C2/m (No. 12)
One atom of each set of equivalent atoms:
Nb1 0.000 0.000 0.000 x2
Ga1 0.215 0.500 0.651 x4
Pt1 0.041 0.500 0.727 x4
Pt2 0.107 0.000 0.458 x4
Pt3 0.143 0.500 0.195 x4
Pt4 0.180 0.000 0.932 x4

Values from the calculation:
The energy of formation from the pure elements comes out at -0.51 eV per atom. The energy is -140.044 eV per cell.


(2)
## NbGa3Pt12 (PBE-GGA)

Data for a relaxed NbGa3Pt12 crystal.

Cell lengths 3.967, 3.967, 15.804 Å; angles 90.00, 90.00, 90.00 degrees
Space group P4/mmm (No. 123)
One atom of each set of equivalent atoms:
Nb1 0.000 0.000 0.000 x1
Ga1 0.000 0.000 0.258 x2
Ga2 0.000 0.000 0.500 x1
Pt1 0.000 0.500 0.124 x4
Pt2 0.000 0.500 0.376 x4
Pt3 0.500 0.500 0.000 x1
Pt4 0.500 0.500 0.250 x2
Pt5 0.500 0.500 0.500 x1

Values from the calculation:
The energy of formation from the pure elements comes out at -0.53 eV per atom. The energy is -100.073 eV per cell.


(3)
## Nb12Ga3Pt (PBE-GGA)

Data for a relaxed Nb12Ga3Pt crystal.

Cell lengths 5.190, 5.206, 10.406 Å; angles 90.00, 90.00, 90.00 degrees
Space group Pmmm (No. 47)
One atom of each set of equivalent atoms:
Nb1 0.000 0.000 0.122 x2
Nb2 0.000 0.000 0.372 x2
Nb3 0.249 0.500 0.250 x4
Nb4 0.500 0.248 0.500 x2
Nb5 0.500 0.252 0.000 x2
Ga1 0.000 0.500 0.500 x1
Ga2 0.500 0.000 0.253 x2
Pt1 0.000 0.500 0.000 x1

Values from the calculation:
The energy of formation from the pure elements comes out at -0.27 eV per atom. The energy is -140.208 eV per cell.


(4)
## Nb6GaPt (PBE-GGA)

Data for a relaxed Nb6GaPt crystal.

Cell lengths 4.814, 4.814, 12.154 Å; angles 90.00, 90.00, 90.00 degrees
Space group I4/mmm (No. 139)
One atom of each set of equivalent atoms:
Nb1 0.000 0.000 0.245 x4
Nb2 0.000 0.500 0.124 x8
Ga1 0.000 0.000 0.000 x2
Pt1 0.000 0.000 0.500 x2

Values from the calculation:
The energy of formation from the pure elements comes out at -0.25 eV per atom. The energy is -143.049 eV per cell.


(5)
## Nb5Ga6Pt (PBE-GGA)

Data for a relaxed Nb5Ga6Pt crystal.

Cell lengths 5.113, 8.833, 9.217 Å; angles 90.00, 100.49, 90.00 degrees
Space group C2/m (No. 12)
One atom of each set of equivalent atoms:
Nb1 0.000 0.000 0.000 x2
Nb2 0.000 0.167 0.500 x4
Nb3 0.000 0.336 0.000 x4
Ga1 0.248 0.000 0.747 x4
Ga2 0.249 0.168 0.253 x8
Pt1 0.000 0.500 0.500 x2

Values from the calculation:
The energy of formation from the pure elements comes out at -0.19 eV per atom. The energy is -153.717 eV per cell.


(6)
## NbGa2Pt9 (PBE-GGA)

Data for a relaxed NbGa2Pt9 crystal.

Cell lengths 3.971, 3.971, 11.880 Å; angles 90.00, 90.00, 90.00 degrees
Space group P4/mmm (No. 123)
One atom of each set of equivalent atoms:
Nb1 0.000 0.000 0.000 x1
Ga1 0.000 0.000 0.342 x2
Pt1 0.000 0.500 0.165 x4
Pt2 0.000 0.500 0.500 x2
Pt3 0.500 0.500 0.000 x1
Pt4 0.500 0.500 0.333 x2

Values from the calculation:
The energy of formation from the pure elements comes out at -0.55 eV per atom. The energy is -77.116 eV per cell.


(7)
## NbGaPt (PBE-GGA)

Data for a relaxed NbGaPt crystal.

Cell lengths 2.957, 2.957, 11.001 Å; angles 90.00, 90.00, 90.00 degrees
Space group I4mm (No. 107)
One atom of each set of equivalent atoms:
Nb1 0.000 0.000 0.000 x2
Ga1 0.000 0.000 0.669 x2
Pt1 0.000 0.000 0.321 x2

Values from the calculation:
The energy of formation from the pure elements comes out at -0.55 eV per atom. The energy is -41.551 eV per cell.


(8)
## NbGaPt6 (PBE-GGA)

Data for a relaxed NbGaPt6 crystal.

Cell lengths 3.983, 3.983, 7.938 Å; angles 90.00, 90.00, 90.00 degrees
Space group P4/mmm (No. 123)
One atom of each set of equivalent atoms:
Nb1 0.000 0.000 0.000 x1
Ga1 0.000 0.000 0.500 x1
Pt1 0.000 0.500 0.246 x4
Pt2 0.500 0.500 0.000 x1
Pt3 0.500 0.500 0.500 x1

Values from the calculation:
The energy of formation from the pure elements comes out at -0.58 eV per atom. The energy is -53.974 eV per cell.


(9)
## NbGaPt (PBE-GGA)

Data for a relaxed NbGaPt crystal.

Cell lengths 3.830, 3.830, 7.007 Å; angles 90.00, 90.00, 90.00 degrees
Space group P4/nmm (No. 129, origin choice 2)
One atom of each set of equivalent atoms:
Nb1 0.250 0.250 0.125 x2
Ga1 0.250 0.750 0.500 x2
Pt1 0.250 0.250 0.751 x2

Values from the calculation:
The energy of formation from the pure elements comes out at -0.38 eV per atom. The energy is -40.543 eV per cell.


(10)
## NbGaPt4 (PBE-GGA)

Data for a relaxed NbGaPt4 crystal.

Cell lengths 3.972, 3.972, 6.875 Å; angles 90.00, 90.07, 90.00 degrees
Space group P2/m (No. 10)
One atom of each set of equivalent atoms:
Nb1 0.000 0.000 0.000 x1
Ga1 0.500 0.500 0.500 x1
Pt1 0.000 0.500 0.259 x2
Pt2 0.500 0.000 0.259 x2

Values from the calculation:
The energy of formation from the pure elements comes out at -0.46 eV per atom. The energy is -40.020 eV per cell.


(11)
## NbGaPt (PBE-GGA)

Data for a relaxed NbGaPt crystal.

Cell lengths 4.3984, 4.3984, 2.8928 Å; angles 90.00, 90.00, 120.00 degrees
Space group P-6m2 (No. 187)
One atom of each set of equivalent atoms:
Nb1 0.0000 0.0000 0.0000 x1
Ga1 0.3333 0.6667 0.5000 x1
Pt1 0.6667 0.3333 0.5000 x1

Values from the calculation:
The energy of formation from the pure elements comes out at -0.58 eV per atom. The energy is -20.863 eV per cell.


(12)
## Rb2NbGaPt (PBE-GGA)

Data for a relaxed Rb2NbGaPt crystal.

Cell lengths 6.550, 6.550, 4.699 Å; angles 90.00, 90.00, 90.00 degrees
Space group P4/mmm (No. 123)
One atom of each set of equivalent atoms:
Rb1 0.000 0.500 0.000 x2
Nb1 0.000 0.000 0.500 x1
Ga1 0.500 0.500 0.000 x1
Pt1 0.500 0.500 0.500 x1

Values from the calculation:
The energy of formation from the pure elements comes out at 1.02 eV per atom. The energy is -15.956 eV per cell.


(13)
## Nb2GaPtRh5 (PBE-GGA)

Data for a relaxed Nb2GaPtRh5 crystal.

Cell lengths 7.533, 7.533, 10.783 Å; angles 90.00, 90.00, 90.00 degrees
Space group I4/mcm (No. 140)
One atom of each set of equivalent atoms:
Nb1 0.118 0.382 0.000 x8
Ga1 0.000 0.000 0.250 x4
Pt1 0.000 0.500 0.250 x4
Rh1 0.000 0.000 0.000 x4
Rh2 0.206 0.294 0.368 x16

Values from the calculation:
The energy of formation from the pure elements comes out at 0.10 eV per atom. The energy is -260.100 eV per cell.


(14)
## NbGa2RuPt (PBE-GGA)

Data for a relaxed NbGa2RuPt crystal.

Cell lengths 4.592, 4.592, 4.933 Å; angles 90.00, 90.00, 90.00 degrees
Space group P4/mmm (No. 123)
One atom of each set of equivalent atoms:
Nb1 0.000 0.000 0.000 x1
Ga1 0.000 0.500 0.500 x2
Ru1 0.500 0.500 0.500 x1
Pt1 0.500 0.500 0.000 x1

Values from the calculation:
The energy of formation from the pure elements comes out at 0.74 eV per atom. The energy is -27.721 eV per cell.


(15)
## Nb2GaTcPt (PBE-GGA)

Data for a relaxed Nb2GaTcPt crystal.

Cell lengths 4.670, 4.670, 4.452 Å; angles 90.00, 90.00, 90.00 degrees
Space group P4/mmm (No. 123)
One atom of each set of equivalent atoms:
Nb1 0.000 0.500 0.000 x2
Ga1 0.000 0.000 0.000 x1
Tc1 0.000 0.000 0.500 x1
Pt1 0.500 0.500 0.500 x1

Values from the calculation:
The energy of formation from the pure elements comes out at 1.06 eV per atom. The energy is -34.289 eV per cell.


(16)
## NbGaTe2Pt (PBE-GGA)

Data for a relaxed NbGaTe2Pt crystal.

Cell lengths 5.284, 5.284, 4.636 Å; angles 90.00, 90.00, 90.00 degrees
Space group P4/mmm (No. 123)
One atom of each set of equivalent atoms:
Nb1 0.000 0.000 0.000 x1
Ga1 0.500 0.500 0.500 x1
Te1 0.000 0.500 0.500 x2
Pt1 0.500 0.500 0.000 x1

Values from the calculation:
As for the uncorrected formation energy: 0.80 eV/atom. The energy is -21.408 eV per cell.


(17)
## TiNbGa2Pt (PBE-GGA)

Data for a relaxed TiNbGa2Pt crystal.

Cell lengths 4.921, 4.921, 4.560 Å; angles 90.00, 90.00, 90.00 degrees
Space group P4/mmm (No. 123)
One atom of each set of equivalent atoms:
Ti1 0.000 0.000 0.000 x1
Nb1 0.000 0.000 0.500 x1
Ga1 0.000 0.500 0.500 x2
Pt1 0.500 0.500 0.000 x1

Values from the calculation:
The energy of formation from the pure elements comes out at 0.86 eV per atom. The energy is -25.758 eV per cell.


(18)
## TiNbGaPt (PBE-GGA)

Data for a relaxed TiNbGaPt crystal.

Cell lengths 3.963, 3.981, 8.194 Å; angles 90.00, 90.00, 90.00 degrees
Space group Imm2 (No. 44)
One atom of each set of equivalent atoms:
Ti1 0.000 0.000 0.000 x2
Nb1 0.000 0.000 0.500 x2
Ga1 0.000 0.500 0.750 x2
Pt1 0.000 0.500 0.250 x2

Values from the calculation:
The energy of formation from the pure elements comes out at -0.58 eV per atom. The energy is -58.666 eV per cell.


(19)
## PuNb2Ga (PBE-GGA)

Data for a relaxed PuNb2Ga crystal.

Cell lengths 4.483, 4.483, 3.673 Å; angles 90.00, 90.00, 90.00 degrees
Space group P4/mmm (No. 123)
One atom of each set of equivalent atoms:
Pu1 0.000 0.000 0.000 x1
Nb1 0.000 0.500 0.500 x2
Ga1 0.500 0.500 0.000 x1

Values from the calculation:
The energy of formation from the pure elements comes out at -0.03 eV per atom. The energy is -37.636 eV per cell. For the relative energy among the computed polymorphs, the calculation gives 0 meV per atom.


(20)
## Pu2NbGa (PBE-GGA)

Data for a relaxed Pu2NbGa crystal.

Cell lengths 7.021, 7.021, 7.021 Å; angles 90.00, 90.00, 90.00 degrees
Space group Fm-3m (No. 225)
One atom of each set of equivalent atoms:
Pu1 0.250 0.250 0.250 x8
Nb1 0.000 0.000 0.000 x4
Ga1 0.000 0.000 0.500 x4

Values from the calculation:
The energy of formation from the pure elements comes out at 0.18 eV per atom. The energy is -164.132 eV per cell. For the relative energy among the computed polymorphs, the calculation gives 240 meV per atom.


(21)
## PuNbGa4 (PBE-GGA)

Data for a relaxed PuNbGa4 crystal.

Cell lengths 7.539, 7.539, 7.539 Å; angles 90.00, 90.00, 90.00 degrees
Space group F-43m (No. 216)
One atom of each set of equivalent atoms:
Pu1 0.000 0.000 0.000 x4
Nb1 0.250 0.250 0.250 x4
Ga1 0.125 0.125 0.625 x16

Values from the calculation:
The energy of formation from the pure elements comes out at -0.20 eV per atom. The energy is -150.749 eV per cell.


(22)
## PuNbGa2 (PBE-GGA)

Data for a relaxed PuNbGa2 crystal.

Cell lengths 2.9640, 2.9640, 29.7614 Å; angles 90.00, 90.00, 120.00 degrees
Space group R-3m (No. 166, hexagonal axes)
One atom of each set of equivalent atoms:
Pu1 0.0000 0.0000 0.0000 x3
Nb1 0.0000 0.0000 0.5000 x3
Ga1 0.0000 0.0000 0.2438 x6

Values from the calculation:
The energy of formation from the pure elements comes out at -0.09 eV per atom. The energy is -92.499 eV per cell. For the relative energy among the computed polymorphs, the calculation gives 122 meV per atom.


(23)
## Pu2NbGa (PBE-GGA)

Data for a relaxed Pu2NbGa crystal.

Cell lengths 4.195, 4.195, 4.643 Å; angles 90.00, 90.00, 90.00 degrees
Space group P4/mmm (No. 123)
One atom of each set of equivalent atoms:
Pu1 0.000 0.500 0.000 x2
Nb1 0.000 0.000 0.500 x1
Ga1 0.500 0.500 0.500 x1

Values from the calculation:
The energy of formation from the pure elements comes out at -0.06 eV per atom. The energy is -41.994 eV per cell. For the relative energy among the computed polymorphs, the calculation gives 0 meV per atom.


(24)
## PuNbGa2 (PBE-GGA)

Data for a relaxed PuNbGa2 crystal.

Cell lengths 3.529, 3.529, 6.223 Å; angles 90.00, 90.00, 90.00 degrees
Space group P4/mmm (No. 123)
One atom of each set of equivalent atoms:
Pu1 0.000 0.000 0.000 x1
Nb1 0.000 0.000 0.500 x1
Ga1 0.500 0.500 0.291 x2

Values from the calculation:
The energy of formation from the pure elements comes out at -0.22 eV per atom. The energy is -31.322 eV per cell. For the relative energy among the computed polymorphs, the calculation gives 0 meV per atom.


(25)
## PuNb2Ga (PBE-GGA)

Data for a relaxed PuNb2Ga crystal.

Cell lengths 2.9339, 2.9339, 31.2261 Å; angles 90.00, 90.00, 120.00 degrees
Space group R-3m (No. 166, hexagonal axes)
One atom of each set of equivalent atoms:
Pu1 0.0000 0.0000 0.0000 x3
Nb1 0.0000 0.0000 0.0932 x6
Ga1 0.0000 0.0000 0.5000 x3

Values from the calculation:
The energy of formation from the pure elements comes out at 0.29 eV per atom. The energy is -109.018 eV per cell. For the relative energy among the computed polymorphs, the calculation gives 324 meV per atom.


(26)
## PuTiNbGa (PBE-GGA)

Data for a relaxed PuTiNbGa crystal.

Cell lengths 6.729, 6.729, 6.729 Å; angles 90.00, 90.00, 90.00 degrees
Space group F-43m (No. 216)
One atom of each set of equivalent atoms:
Pu1 0.000 0.000 0.000 x4
Ti1 0.000 0.000 0.500 x4
Nb1 0.250 0.250 0.750 x4
Ga1 0.250 0.250 0.250 x4

Values from the calculation:
The energy of formation from the pure elements comes out at 0.02 eV per atom. The energy is -140.997 eV per cell.